The following is a DFT calculation (GGA-PBEsol) of a relaxed structure of SbTeAu2.

## Properties
ΔE_f (raw), meV/atom: 190
E_tot, eV/atom: -3.79
E above lowest polymorph, meV per atom: 245

Lattice parameters (Å, degrees): 3.8697 3.8700 5.8767 90.00 90.00 90.00
Sites, in units of the cell vectors:
Au  0.0000  0.0000  0.7566
Au  0.0000  0.0000  0.2434
Sb  0.5000  0.5000  0.0000
Te  0.5000  0.5000  0.5000

The following is a DFT calculation (GGA-PBEsol) of a relaxed structure of MoW4.

## Properties
ΔH_f (0 K), meV per atom: 0
E_tot, eV/atom: -13.40
E above lowest polymorph, meV per atom: 0

Lattice parameters (Å, degrees): 3.1503 5.2183 5.2183 84.77 72.43 72.43
Sites, in units of the cell vectors:
Mo  0.0000  0.0000  0.0000
W  0.5997  0.6005  0.2000
W  0.7997  0.8000  0.6005
W  0.4003  0.3995  0.8000
W  0.2003  0.2000  0.3995

The following is a DFT calculation (GGA-PBEsol) of a relaxed structure of Sr5Mg.

## Properties
ΔH_f (0 K), meV per atom: -12
E_tot, eV/atom: -1.83
E above lowest polymorph, meV per atom: 0

Lattice parameters (Å, degrees): 4.2182 4.2182 15.7088 90.00 90.00 90.00
Sites, in units of the cell vectors:
Sr  0.0000  0.0000  0.8740
Sr  0.0000  0.0000  0.1260
Sr  0.5000  0.5000  0.6872
Sr  0.5000  0.5000  0.3128
Sr  0.0000  0.0000  0.5000
Mg  0.5000  0.5000  0.0000

The following is a DFT calculation (GGA-PBEsol) of a relaxed structure of KBa3Ir.

## Properties
ΔH_f (0 K), meV per atom: 1
E_tot, eV/atom: -3.48

Lattice parameters (Å, degrees): 6.2029 6.2029 6.2029 90.00 90.00 90.00
Sites, in units of the cell vectors:
K  0.5000  0.5000  0.5000
Ir  0.0000  0.0000  0.0000
Ba  0.0000  0.5000  0.0000
Ba  0.0000  0.0000  0.5000
Ba  0.5000  0.0000  0.0000

The following is a DFT calculation (GGA-PBEsol) of a relaxed structure of BaBe2H.

## Properties
E_tot, eV/atom: -2.05

Lattice parameters (Å, degrees): 4.7463 4.7463 4.7463 60.00 60.00 60.00
Sites, in units of the cell vectors:
Be  0.2500  0.2500  0.2500
Be  0.7500  0.7500  0.7500
Ba  0.5000  0.5000  0.5000
H  0.0000  0.0000  0.0000

The following is a DFT calculation (GGA-PBEsol) of a relaxed structure of SiIr2Rh.

## Properties
ΔE_f (raw), meV/atom: -105
E_tot, eV/atom: -8.49

Lattice parameters (Å, degrees): 2.6990 4.5048 4.5249 90.00 90.00 90.00
Sites, in units of the cell vectors:
Ir  0.0000  0.0000  0.0000
Ir  0.5000  0.0000  0.5000
Rh  0.5000  0.5000  0.0000
Si  0.0000  0.5000  0.5000

The following is a DFT calculation (GGA-PBEsol) of a relaxed structure of Y2Ge2Pt.

## Properties
ΔH_f (0 K), meV per atom: -1032
E_tot, eV/atom: -7.13

Lattice parameters (Å, degrees): 4.4495 6.6389 6.6389 90.00 90.00 90.00
Sites, in units of the cell vectors:
Y  0.5000  0.1730  0.6730
Y  0.5000  0.6730  0.8270
Y  0.5000  0.8270  0.3270
Y  0.5000  0.3270  0.1730
Ge  0.0000  0.3628  0.8628
Ge  0.0000  0.8628  0.6372
Ge  0.0000  0.6372  0.1372
Ge  0.0000  0.1372  0.3628
Pt  0.0000  0.0000  0.0000
Pt  0.0000  0.5000  0.5000

The following is a DFT calculation (GGA-PBEsol) of a relaxed structure of NaTe3Au.

## Properties
ΔE_f (raw), meV/atom: 904
E_tot, eV/atom: -2.28

Lattice parameters (Å, degrees): 5.3050 5.3050 5.3050 90.00 90.00 90.00
Sites, in units of the cell vectors:
Na  0.0000  0.0000  0.0000
Te  0.0000  0.5000  0.0000
Te  0.0000  0.0000  0.5000
Te  0.5000  0.0000  0.0000
Au  0.5000  0.5000  0.5000

The following is a DFT calculation (GGA-PBEsol) of a relaxed structure of Zn2HPd2.

## Properties
E_tot, eV/atom: -3.25

Lattice parameters (Å, degrees): 3.6402 3.6402 6.5040 106.25 106.25 90.00
Sites, in units of the cell vectors:
H  0.0000  0.0000  0.0000
Zn  0.4011  0.4011  0.8023
Zn  0.5989  0.5989  0.1977
Pd  0.2500  0.7500  0.5000
Pd  0.7500  0.2500  0.5000

The following is a DFT calculation (GGA-PBEsol) of a relaxed structure of SrCr2SnMo.

## Properties
ΔH_f (0 K), meV per atom: 1921
E_tot, eV/atom: -5.75

Lattice parameters (Å, degrees): 5.1233 5.1233 6.0119 90.00 90.00 90.00
Last column: magnetic moment on the atom in μB.
Sites, in units of the cell vectors:
Sr  0.0000  0.0000  0.5000  0.00
Mo  0.5000  0.5000  0.5000  3.80
Sn  0.0000  0.0000  0.0000  -0.15
Cr  0.0000  0.5000  0.0000  3.83
Cr  0.5000  0.0000  0.0000  3.83

The following is a DFT calculation (GGA-PBEsol) of a relaxed structure of ZrSc2Tl.

## Properties
ΔH_f (0 K), meV per atom: -165
E_tot, eV/atom: -6.40
E above lowest polymorph, meV per atom: 42

Lattice parameters (Å, degrees): 3.3525 4.2927 6.2029 90.00 90.00 90.00
Sites, in units of the cell vectors:
Sc  0.0000  0.0000  0.9925
Sc  0.5000  0.5000  0.2505
Tl  0.0000  0.0000  0.4980
Zr  0.5000  0.5000  0.7589

The following is a DFT calculation (GGA-PBEsol) of a relaxed structure of CaCr2P.

## Properties
ΔH_f (0 K), meV per atom: 363
E_tot, eV/atom: -6.74

Lattice parameters (Å, degrees): 2.5318 4.7853 5.5611 115.48 103.16 90.00
Sites, in units of the cell vectors:
Ca  0.0000  0.5000  0.0000
Cr  0.7965  0.7965  0.5930
Cr  0.2035  0.2035  0.4070
P  0.5000  0.0000  0.0000